No. 1
A plane-wave DFT calculation with PBE was carried out for Th2AgIr after structural relaxation.

Results
Uncorrected energy = -6.7328 eV/atom
Total magnetic moment = 0.0 μB per formula unit
Calculated formation energy = -95 meV/atom
Calculated volume = 33.5 A^3/atom

Unit cell a=9.563 b=9.563 c=9.563 alpha=24.68 beta=24.68 gamma=24.68
Positions (direct):
1 Th 0.110 0.110 0.110
2 Th 0.890 0.890 0.890
3 Ag 0.000 0.000 0.000
4 Ir 0.500 0.500 0.500


No. 2
A plane-wave DFT calculation with PBE was carried out for Th2AgIr after structural relaxation.

Results
Uncorrected energy = -7.1392 eV/atom
Total magnetic moment = 0.0 μB per formula unit
Calculated formation energy = -501 meV/atom
Calculated volume = 28.0 A^3/atom

Unit cell a=4.194 b=4.194 c=7.751 alpha=105.66 beta=105.66 gamma=59.87
Positions (direct):
1 Th 0.000 0.000 0.000
2 Th 0.194 0.194 0.581
3 Ag 0.764 0.764 0.291
4 Ir 0.598 0.598 0.793


No. 3
A plane-wave DFT calculation with PBE was carried out for ThAgIr4 after structural relaxation.

Results
Uncorrected energy = -7.9803 eV/atom
Total magnetic moment = 0.0 μB per formula unit
Calculated formation energy = -361 meV/atom
Calculated volume = 18.1 A^3/atom

Unit cell a=5.356 b=5.356 c=5.356 alpha=60.00 beta=60.00 gamma=60.00
Positions (direct):
1 Th 0.000 0.000 0.000
2 Ag 0.250 0.250 0.250
3 Ir 0.126 0.625 0.625
4 Ir 0.625 0.126 0.625
5 Ir 0.625 0.625 0.126
6 Ir 0.625 0.625 0.625


No. 4
A plane-wave DFT calculation with PBE was carried out for Th3AgIr8 after structural relaxation.

Results
Uncorrected energy = -8.6266 eV/atom
Total magnetic moment = 0.0 μB per formula unit
Calculated formation energy = -627 meV/atom
Calculated volume = 18.7 A^3/atom

Unit cell a=9.383 b=9.383 c=9.383 alpha=33.50 beta=33.50 gamma=33.50
Positions (direct):
1 Th 0.000 0.000 0.000
2 Th 0.129 0.129 0.129
3 Th 0.515 0.515 0.515
4 Ag 0.636 0.636 0.636
5 Ir 0.069 0.569 0.569
6 Ir 0.070 0.070 0.566
7 Ir 0.070 0.566 0.070
8 Ir 0.319 0.319 0.319
9 Ir 0.566 0.070 0.070
10 Ir 0.569 0.069 0.569
11 Ir 0.569 0.569 0.069
12 Ir 0.819 0.819 0.819


No. 5
A plane-wave DFT calculation with PBE was carried out for Th2AgIr after structural relaxation.

Results
Uncorrected energy = -7.0551 eV/atom
Total magnetic moment = 0.0 μB per formula unit
Calculated formation energy = -417 meV/atom
Calculated volume = 24.7 A^3/atom

Unit cell a=3.605 b=3.605 c=7.602 alpha=90.00 beta=90.00 gamma=90.00
Positions (direct):
1 Th 0.000 0.000 0.226
2 Th 0.000 0.000 0.774
3 Ag 0.500 0.500 0.500
4 Ir 0.500 0.500 0.000


No. 6
A plane-wave DFT calculation with PBE was carried out for Th2AgIr after structural relaxation.

Results
Uncorrected energy = -7.0986 eV/atom
Total magnetic moment = 0.0 μB per formula unit
Calculated formation energy = -461 meV/atom
Calculated volume = 28.2 A^3/atom

Unit cell a=4.232 b=4.232 c=7.265 alpha=90.00 beta=90.00 gamma=120.00
Positions (direct):
1 Th 0.333 0.667 0.291
2 Th 0.667 0.333 0.709
3 Ag 0.000 0.000 0.000
4 Ir 0.000 0.000 0.500


No. 7
A plane-wave DFT calculation with PBE was carried out for Th2AgIr9 after structural relaxation.

Results
Uncorrected energy = -8.4197 eV/atom
Total magnetic moment = 0.0 μB per formula unit
Calculated formation energy = -300 meV/atom
Calculated volume = 18.2 A^3/atom

Unit cell a=9.412 b=9.412 c=9.412 alpha=32.87 beta=32.87 gamma=32.87
Positions (direct):
1 Th 0.134 0.134 0.134
2 Th 0.866 0.866 0.866
3 Ag 0.000 0.000 0.000
4 Ir 0.082 0.581 0.581
5 Ir 0.333 0.333 0.333
6 Ir 0.419 0.419 0.918
7 Ir 0.419 0.918 0.419
8 Ir 0.500 0.500 0.500
9 Ir 0.581 0.082 0.581
10 Ir 0.581 0.581 0.082
11 Ir 0.667 0.667 0.667
12 Ir 0.918 0.419 0.419


No. 8
A plane-wave DFT calculation with PBE was carried out for Th2TlAgIr after structural relaxation.

Results
Uncorrected energy = -6.2126 eV/atom
Total magnetic moment = 0.0 μB per formula unit
Calculated formation energy = -429 meV/atom
Calculated volume = 26.1 A^3/atom

Unit cell a=8.284 b=4.045 c=8.302 alpha=90.00 beta=110.18 gamma=90.00
Positions (direct):
1 Th 0.006 0.250 0.292
2 Th 0.348 0.250 0.105
3 Th 0.652 0.750 0.895
4 Th 0.994 0.750 0.708
5 Tl 0.314 0.250 0.688
6 Tl 0.686 0.750 0.312
7 Ag 0.361 0.750 0.442
8 Ag 0.639 0.250 0.558
9 Ir 0.110 0.750 0.109
10 Ir 0.890 0.250 0.891


No. 9
A plane-wave DFT calculation with PBE was carried out for Ti3AgIr after structural relaxation.

Results
Uncorrected energy = -6.7377 eV/atom
Total magnetic moment = 2.2 μB per formula unit
Calculated formation energy = 342 meV/atom
Calculated volume = 21.7 A^3/atom

Unit cell a=4.767 b=4.767 c=4.767 alpha=90.00 beta=90.00 gamma=90.00
Positions (direct):
1 Ti 0.000 0.000 0.500
2 Ti 0.000 0.500 0.000
3 Ti 0.500 0.000 0.000
4 Ag 0.500 0.500 0.500
5 Ir 0.000 0.000 0.000


No. 10
A plane-wave DFT calculation with PBE was carried out for Ti2AgIr2 after structural relaxation.

Results
Uncorrected energy = -7.7446 eV/atom
Total magnetic moment = 0.0 μB per formula unit
Calculated formation energy = -472 meV/atom
Calculated volume = 16.4 A^3/atom

Unit cell a=7.553 b=7.553 c=2.876 alpha=90.00 beta=90.00 gamma=90.00
Positions (direct):
1 Ti 0.147 0.353 0.000
2 Ti 0.353 0.853 0.000
3 Ti 0.647 0.147 0.000
4 Ti 0.853 0.647 0.000
5 Ag 0.000 0.000 0.000
6 Ag 0.500 0.500 0.000
7 Ir 0.146 0.646 0.500
8 Ir 0.354 0.146 0.500
9 Ir 0.646 0.854 0.500
10 Ir 0.854 0.354 0.500


No. 11
A plane-wave DFT calculation with PBE was carried out for Ti2AgIr2 after structural relaxation.

Results
Uncorrected energy = -7.8395 eV/atom
Total magnetic moment = 0.0 μB per formula unit
Calculated formation energy = -567 meV/atom
Calculated volume = 16.3 A^3/atom

Unit cell a=7.471 b=7.471 c=2.921 alpha=90.00 beta=90.00 gamma=90.00
Positions (direct):
1 Ti 0.157 0.343 0.000
2 Ti 0.343 0.843 0.000
3 Ti 0.657 0.157 0.000
4 Ti 0.843 0.657 0.000
5 Ag 0.000 0.000 0.500
6 Ag 0.500 0.500 0.500
7 Ir 0.138 0.638 0.500
8 Ir 0.362 0.138 0.500
9 Ir 0.638 0.862 0.500
10 Ir 0.862 0.362 0.500


No. 12
A plane-wave DFT calculation with PBE was carried out for TiAgIr2 after structural relaxation.

Results
Uncorrected energy = -6.8111 eV/atom
Total magnetic moment = 0.0 μB per formula unit
Calculated formation energy = 306 meV/atom
Calculated volume = 17.0 A^3/atom

Unit cell a=9.364 b=9.364 c=9.364 alpha=156.00 beta=156.00 gamma=34.19
Positions (direct):
1 Ti 0.000 0.000 0.000
2 Ti 0.750 0.250 0.500
3 Ag 0.250 0.750 0.500
4 Ag 0.500 0.500 0.000
5 Ir 0.120 0.625 0.995
6 Ir 0.375 0.370 0.495
7 Ir 0.630 0.125 0.005
8 Ir 0.875 0.880 0.505


No. 13
A plane-wave DFT calculation with PBE was carried out for TiAgIr2 after structural relaxation.

Results
Uncorrected energy = -7.2757 eV/atom
Total magnetic moment = 0.0 μB per formula unit
Calculated formation energy = -159 meV/atom
Calculated volume = 15.5 A^3/atom

Unit cell a=4.443 b=4.443 c=4.443 alpha=60.00 beta=60.00 gamma=60.00
Positions (direct):
1 Ti 0.000 0.000 0.000
2 Ag 0.500 0.500 0.500
3 Ir 0.250 0.250 0.250
4 Ir 0.750 0.750 0.750


No. 14
A plane-wave DFT calculation with PBE was carried out for TmTiAgIr after structural relaxation.

Results
Uncorrected energy = -6.4204 eV/atom
Total magnetic moment = 0.4 μB per formula unit
Calculated formation energy = -401 meV/atom
Calculated volume = 18.5 A^3/atom

Unit cell a=4.713 b=4.713 c=4.713 alpha=60.00 beta=60.00 gamma=60.00
Positions (direct):
1 Tm 0.000 0.000 0.000
2 Ti 0.500 0.500 0.500
3 Ag 0.250 0.250 0.250
4 Ir 0.750 0.750 0.750


No. 15
A plane-wave DFT calculation with PBE was carried out for TiZnAgIr after structural relaxation.

Results
Uncorrected energy = -5.4934 eV/atom
Total magnetic moment = 0.0 μB per formula unit
Calculated formation energy = -273 meV/atom
Calculated volume = 15.4 A^3/atom

Unit cell a=4.435 b=4.435 c=4.435 alpha=60.00 beta=60.00 gamma=60.00
Positions (direct):
1 Ti 0.000 0.000 0.000
2 Zn 0.500 0.500 0.500
3 Ag 0.750 0.750 0.750
4 Ir 0.250 0.250 0.250


No. 16
A plane-wave DFT calculation with PBE was carried out for TlAg2Ir after structural relaxation.

Results
Uncorrected energy = -3.8732 eV/atom
Total magnetic moment = 0.0 μB per formula unit
Calculated formation energy = 359 meV/atom
Calculated volume = 18.1 A^3/atom

Unit cell a=4.938 b=4.938 c=4.938 alpha=128.03 beta=128.03 gamma=76.57
Positions (direct):
1 Tl 0.000 0.000 0.000
2 Ag 0.500 0.500 0.000
3 Ag 0.750 0.250 0.500
4 Ir 0.250 0.750 0.500


No. 17
A plane-wave DFT calculation with PBE was carried out for TlAg2Ir after structural relaxation.

Results
Uncorrected energy = -3.8576 eV/atom
Total magnetic moment = 0.0 μB per formula unit
Calculated formation energy = 375 meV/atom
Calculated volume = 18.4 A^3/atom

Unit cell a=3.048 b=4.055 c=5.961 alpha=90.00 beta=90.03 gamma=90.00
Positions (direct):
1 Tl 0.000 0.000 0.000
2 Ag 0.002 0.000 0.520
3 Ag 0.503 0.500 0.294
4 Ir 0.500 0.500 0.780


No. 18
A plane-wave DFT calculation with PBE was carried out for TlAgIr after structural relaxation.

Results
Uncorrected energy = -4.1370 eV/atom
Total magnetic moment = 0.0 μB per formula unit
Calculated formation energy = 556 meV/atom
Calculated volume = 19.0 A^3/atom

Unit cell a=7.688 b=7.406 c=2.993 alpha=83.92 beta=73.31 gamma=22.77
Positions (direct):
1 Tl 0.000 0.000 0.000
2 Ag 0.321 0.321 0.679
3 Ir 0.662 0.662 0.338


No. 19
A plane-wave DFT calculation with PBE was carried out for TlAgIr2 after structural relaxation.

Results
Uncorrected energy = -5.3393 eV/atom
Total magnetic moment = 0.0 μB per formula unit
Calculated formation energy = 396 meV/atom
Calculated volume = 18.3 A^3/atom

Unit cell a=2.886 b=2.886 c=8.785 alpha=90.00 beta=90.00 gamma=90.00
Positions (direct):
1 Tl 0.000 0.000 0.000
2 Ag 0.500 0.500 0.301
3 Ir 0.000 0.000 0.538
4 Ir 0.500 0.500 0.729


No. 20
A plane-wave DFT calculation with PBE was carried out for TlAgIr2 after structural relaxation.

Results
Uncorrected energy = -5.1409 eV/atom
Total magnetic moment = 0.0 μB per formula unit
Calculated formation energy = 594 meV/atom
Calculated volume = 17.2 A^3/atom

Unit cell a=4.888 b=4.888 c=4.888 alpha=128.98 beta=128.98 gamma=75.04
Positions (direct):
1 Tl 0.000 0.000 0.000
2 Ag 0.250 0.750 0.500
3 Ir 0.500 0.500 0.000
4 Ir 0.750 0.250 0.500